(1)
Below is a geometry-optimized LaLu2Be structure, with properties calculated at the GGA-PBE level.

Lattice parameters (Å, degrees): 3.4044 3.4044 8.8852 90.00 90.00 90.00
Last column: nearest neighbours and their distance in Å.
Space group P4/mmm (No. 123)
Unique sites:
La1 0.0000 0.0000 0.0000  4 La 3.40, 8 Lu 3.71
Lu1 0.5000 0.5000 0.3176  4 Be 2.90, 1 Lu 3.24
Be1 0.0000 0.0000 0.5000  8 Lu 2.90

Calculated values
- M_tot (μB/cell) = 0.00
- calculated volume (Å³ per cell) = 103
- E_tot (eV per atom) = -4.366
- energy of formation (eV/f.u.) = 0.23

(2)
Below is a geometry-optimized La3LuBeS7 structure, with properties calculated at the GGA-PBE level.

Lattice parameters (Å, degrees): 10.2706 10.2706 6.2397 90.00 90.00 120.00
Last column: nearest neighbours and their distance in Å.
Space group P6_3 (No. 173)
Unique sites:
La1 0.1402 0.3972 0.0000  5 S 2.78-3.12
Lu1 0.0000 0.0000 0.3026  6 S 2.64-2.65
Be1 0.3333 0.6667 0.4099  4 S 2.14-2.17
S1 0.0860 0.2371 0.5545  2 Lu 2.64-2.65
S2 0.1152 0.5950 0.2792  1 Be 2.14
S3 0.3333 0.6667 0.7575  1 Be 2.17

Calculated values
- raw formation energy (meV/atom) = -1908
- M_tot (μB/cell) = 0.00
- calculated volume (Å³ per cell) = 570
- E_tot (eV per atom) = -6.235

(3)
Below is a geometry-optimized LaMg2Be structure, with properties calculated at the GGA-PBE level.

Lattice parameters (Å, degrees): 3.1959 3.1959 8.5717 90.00 90.00 90.00
Last column: nearest neighbours and their distance in Å.
Space group P4/mmm (No. 123)
Unique sites:
La1 0.0000 0.0000 0.0000  4 La 3.20, 8 Mg 3.54
Mg1 0.5000 0.5000 0.3181  4 Be 2.75
Be1 0.0000 0.0000 0.5000  8 Mg 2.75

Calculated values
- M_tot (μB/cell) = 0.00
- calculated volume (Å³ per cell) = 88
- E_tot (eV per atom) = -2.788
- energy of formation (eV/f.u.) = 0.69

(4)
Below is a geometry-optimized La2Mg2Be structure, with properties calculated at the GGA-PBE level.

Lattice parameters (Å, degrees): 6.9495 6.9495 5.4083 90.00 90.00 90.00
Last column: nearest neighbours and their distance in Å.
Space group P4/mbm (No. 127)
Unique sites:
La1 0.1660 0.3340 0.0000  6 Mg 3.25-3.49, 1 La 3.26
Mg1 0.1514 0.6514 0.5000  2 Be 2.64
Be1 0.0000 0.0000 0.5000  4 Mg 2.64

Calculated values
- M_tot (μB/cell) = 0.00
- calculated volume (Å³ per cell) = 261
- E_tot (eV per atom) = -3.195
- energy of formation (eV/f.u.) = 0.80

(5)
Below is a geometry-optimized LaMgBe2 structure, with properties calculated at the GGA-PBE level.

Lattice parameters (Å, degrees): 2.9172 3.0990 7.9415 90.00 90.00 90.00
Last column: nearest neighbours and their distance in Å.
Space group Pmm2 (No. 25)
Unique sites:
La1 0.0000 0.0000 0.0000  4 La 2.92-3.10, 5 Be 3.13-3.18
Mg1 0.5000 0.5000 0.6342  5 Be 2.74-2.83, 2 Mg 2.92
Be1 0.0000 0.0000 0.4002  4 Be 2.30
Be2 0.5000 0.5000 0.2896  4 Be 2.30

Calculated values
- M_tot (μB/cell) = 0.00
- calculated volume (Å³ per cell) = 72
- E_tot (eV per atom) = -3.226
- energy of formation (eV/f.u.) = 1.07

(6)
Below is a geometry-optimized LaMgBe2 structure, with properties calculated at the GGA-PBE level.

Lattice parameters (Å, degrees): 7.3720 4.2573 5.7151 90.00 115.19 90.00
Last column: nearest neighbours and their distance in Å.
Space group C2/m (No. 12)
Unique sites:
La1 0.0000 0.0000 0.0000  8 Be 2.98-3.30
Mg1 0.0000 0.5000 0.5000  6 Be 2.48-2.49
Be1 0.1924 0.0000 0.5761  3 Mg 2.48-2.49, 3 Be 2.58-2.59

Calculated values
- M_tot (μB/cell) = 0.00
- calculated volume (Å³ per cell) = 162
- E_tot (eV per atom) = -3.275
- energy of formation (eV/f.u.) = 0.88

(7)
Below is a geometry-optimized LaMg2Be structure, with properties calculated at the GGA-PBE level.

Lattice parameters (Å, degrees): 3.2722 3.2722 8.4003 90.00 90.00 90.00
Last column: nearest neighbours and their distance in Å.
Space group P4mm (No. 99)
Unique sites:
La1 0.0000 0.0000 0.0000  4 Be 3.09, 4 La 3.27
Mg1 0.0000 0.0000 0.5855  4 Be 2.72
Mg2 0.5000 0.5000 0.3267  8 Mg 3.17-3.27
Be1 0.5000 0.5000 0.7556  4 Mg 2.72

Calculated values
- M_tot (μB/cell) = 0.00
- calculated volume (Å³ per cell) = 90
- E_tot (eV per atom) = -2.834
- energy of formation (eV/f.u.) = 0.51

(8)
Below is a geometry-optimized LaMg2Be structure, with properties calculated at the GGA-PBE level.

Lattice parameters (Å, degrees): 3.3428 4.5017 6.4580 90.00 104.93 90.00
Last column: nearest neighbours and their distance in Å.
Space group Pm (No. 6)
Unique sites:
La1 0.0000 0.0000 0.0000  4 Be 3.13-3.14, 3 Mg 3.28-3.42, 2 La 3.34
Mg1 0.2748 0.0000 0.5473  2 Be 2.66
Mg2 0.6896 0.5000 0.3780  2 Be 2.98-2.99, 6 Mg 2.99-3.34
Be1 0.3887 0.5000 0.7749  2 Mg 2.66

Calculated values
- M_tot (μB/cell) = 0.00
- calculated volume (Å³ per cell) = 94
- E_tot (eV per atom) = -2.799
- energy of formation (eV/f.u.) = 0.65

- What is the formula in the eighth record?
  LaMg2Be